Material: La3Pr8Er
Method: DFT, PBE-GGA
State: optimized geometry

Lattice parameters (Å, degrees): 8.635 8.635 8.635 94.56 117.40 117.40
Fractional coordinates of all 12 atoms:
Pr (0.755, 0.126, 0.126)
Er (0.000, 0.000, 0.000)
Pr (0.000, 0.629, 0.874)
La (0.000, 0.500, 0.500)
Pr (0.245, 0.371, 0.371)
Pr (0.496, 0.242, 0.242)
La (0.500, 0.750, 0.250)
Pr (0.000, 0.758, 0.254)
La (0.500, 0.250, 0.750)
Pr (0.000, 0.874, 0.629)
Pr (0.504, 0.746, 0.746)
Pr (0.000, 0.254, 0.758)

Summary:
- E_tot (hartree per atom) = -0.158
- total magnetization (μB per formula unit) = 0.00
- DOS at the Fermi energy (states/eV/f.u.) = 19.01
- formation enthalpy at 0 K (eV/atom) = 0.506
- space-group type = I-42m



Material: La3Pr2Er
Method: DFT, PBE-GGA
State: optimized geometry

Lattice parameters (Å, degrees): 6.421 6.421 12.025 90.00 90.00 120.00
Fractional coordinates of all 12 atoms:
La (0.329, 0.329, 0.250)
La (0.671, 0.671, 0.750)
Er (0.000, 0.000, 0.500)
Pr (0.333, 0.667, 0.500)
Er (0.000, 0.000, 0.000)
Pr (0.667, 0.333, 0.500)
Pr (0.667, 0.333, 0.000)
La (0.671, 0.000, 0.250)
Pr (0.333, 0.667, 0.000)
La (0.000, 0.329, 0.750)
La (0.000, 0.671, 0.250)
La (0.329, 0.000, 0.750)

Summary:
- E_tot (hartree per atom) = -0.176
- energy above the lowest structure with this stoichiometry (meV per atom) = 0
- total magnetization (μB per formula unit) = 0.00
- DOS at the Fermi energy (states/eV/f.u.) = 7.73
- formation enthalpy at 0 K (eV/atom) = 0.021
- space-group type = P6_3/mcm



Repeat the first record exactly.
Material: La3Pr8Er
Method: DFT, PBE-GGA
State: optimized geometry

Lattice parameters (Å, degrees): 8.635 8.635 8.635 94.56 117.40 117.40
Fractional coordinates of all 12 atoms:
Pr (0.755, 0.126, 0.126)
Er (0.000, 0.000, 0.000)
Pr (0.000, 0.629, 0.874)
La (0.000, 0.500, 0.500)
Pr (0.245, 0.371, 0.371)
Pr (0.496, 0.242, 0.242)
La (0.500, 0.750, 0.250)
Pr (0.000, 0.758, 0.254)
La (0.500, 0.250, 0.750)
Pr (0.000, 0.874, 0.629)
Pr (0.504, 0.746, 0.746)
Pr (0.000, 0.254, 0.758)

Summary:
- E_tot (hartree per atom) = -0.158
- total magnetization (μB per formula unit) = 0.00
- DOS at the Fermi energy (states/eV/f.u.) = 19.01
- formation enthalpy at 0 K (eV/atom) = 0.506
- space-group type = I-42m